# 1
The following is a PBE-GGA calculation of GaFeH2 after structural relaxation, from the Alexandria database.

space-group type = No. 225
E above lowest polymorph = 412 meV/atom

Cell lengths 3.5246, 3.5246, 3.5246 Å; angles 60.00, 60.00, 60.00 degrees
Positions (direct):
Ga  0.0000  0.0000  0.0000
Fe  0.5000  0.5000  0.5000
H  0.2500  0.2500  0.2500
H  0.7500  0.7500  0.7500

# 2
The following is a PBE-GGA calculation of Dy2Co2Ge3 after structural relaxation, from the Alexandria database.

space-group type = No. 63
E_tot = -5.940 eV per atom

Cell lengths 9.0437, 9.0437, 6.8018 Å; angles 90.00, 90.00, 153.87 degrees
Positions (direct):
Dy  0.0539  0.9461  0.7500
Dy  0.1609  0.8391  0.2500
Dy  0.8391  0.1609  0.7500
Dy  0.9461  0.0539  0.2500
Co  0.3036  0.6964  0.0569
Co  0.3036  0.6964  0.4431
Co  0.6964  0.3036  0.5569
Co  0.6964  0.3036  0.9431
Ge  0.2222  0.7778  0.7500
Ge  0.4325  0.5675  0.5611
Ge  0.4325  0.5675  0.9389
Ge  0.5675  0.4325  0.0611
Ge  0.5675  0.4325  0.4389
Ge  0.7778  0.2222  0.2500

Number 1: magnetic moment 0.00 μB/cell. Number 2: magnetic moment 1.07 μB/cell.